Here is an optimized crystal structure of ZrScBi2 from Alexandria. Energies are from PBE.

Calculated values
Crystal system: tetragonal
Energy relative to the elements, kJ per mole of atoms: -28.9
ΔE to the lowest computed polymorph, eV/f.u.: 0.50
D(E_F), states/eV/cell: 4.3

a b c (Å): 3.3570 5.4786 5.4786
angles (deg): 90.00 90.00 90.00
Element x y z (fractional)
Sc 0.5000 0.0000 0.0000
Bi 0.0000 0.0000 0.5000
Bi 0.0000 0.5000 0.0000
Zr 0.5000 0.5000 0.5000